(1)
First-principles (meta-GGA SCAN) data for a PBEsol-optimized structure of ScCo2W, as listed in Alexandria via LeMat-Bulk.

Cell and atoms, written as POSCAR:
```
ScCo2W
1.0
2.724 0.000 0.000
-1.362 3.784 0.008
0.000 -0.689 5.558
Sc W Co
1 1 2
Direct
0.000 0.000 0.500
0.500 0.000 0.000
0.747 0.493 0.785
0.253 0.507 0.215
```

Energy above the lowest structure with this stoichiometry ... 0.412 eV per atom
Electronic total energy ... -29.265 eV per atom
Calculated volume ... 14.3 Å³ per atom
Symmetry ... No. 12

---

(2)
First-principles (meta-GGA SCAN) data for a PBEsol-optimized structure of CaMnFe2, as listed in Alexandria via LeMat-Bulk.

Cell and atoms, written as POSCAR:
```
CaMnFe2
1.0
-1.254 -3.313 -1.489
-1.054 -1.175 3.502
-3.704 1.654 -0.560
Fe Mn Ca
2 1 1
Direct
0.500 0.500 0.000
0.000 0.000 0.000
0.000 0.500 0.500
0.500 0.000 0.500
```

Electronic total energy ... -15.512 eV per atom
Calculated volume ... 15.1 Å³ per atom
Symmetry ... No. 123

---

(3)
First-principles (meta-GGA SCAN) data for a PBEsol-optimized structure of ScMo, as listed in Alexandria via LeMat-Bulk.

Cell and atoms, written as POSCAR:
```
ScMo
1.0
4.646 0.000 0.000
-2.323 4.024 0.000
0.000 0.000 5.139
Sc Mo
2 2
Direct
0.667 0.333 0.750
0.333 0.667 0.250
0.667 0.333 0.250
0.333 0.667 0.750
```

Energy above the lowest structure with this stoichiometry ... 1.893 eV per atom
Electronic total energy ... -22.671 eV per atom
Calculated volume ... 24.0 Å³ per atom
Symmetry ... No. 194

---

(4)
First-principles (meta-GGA SCAN) data for a PBEsol-optimized structure of MgCu2W, as listed in Alexandria via LeMat-Bulk.

Cell and atoms, written as POSCAR:
```
MgCu2W
1.0
4.273 0.000 0.000
2.137 3.701 0.000
2.137 1.234 3.489
Cu W Mg
2 1 1
Direct
0.000 0.000 0.000
0.750 0.750 0.750
0.250 0.250 0.250
0.500 0.500 0.500
```

Electronic total energy ... -25.574 eV per atom
Calculated volume ... 13.8 Å³ per atom
Symmetry ... No. 216

---

(5)
First-principles (meta-GGA SCAN) data for a PBEsol-optimized structure of Zn2CoP2H8O12, as listed in Alexandria via LeMat-Bulk.

Cell and atoms, written as POSCAR:
```
Zn2CoP2H8O12
1.0
4.878 0.000 0.000
0.000 10.628 0.000
0.000 0.000 18.753
H O Zn P Co
32 48 8 8 4
Direct
0.535 0.607 0.642
0.836 0.243 0.634
0.870 0.881 0.709
0.130 0.119 0.291
0.370 0.619 0.291
0.664 0.743 0.634
0.370 0.619 0.209
0.465 0.393 0.358
0.164 0.757 0.134
0.965 0.107 0.642
0.486 0.864 0.291
0.465 0.393 0.142
0.164 0.757 0.366
0.986 0.636 0.791
0.965 0.107 0.858
0.336 0.257 0.134
0.514 0.136 0.791
0.986 0.636 0.709
0.336 0.257 0.366
0.535 0.607 0.858
0.130 0.119 0.209
0.836 0.243 0.866
0.014 0.364 0.291
0.664 0.743 0.866
0.486 0.864 0.209
0.514 0.136 0.709
0.035 0.893 0.142
0.630 0.381 0.791
0.035 0.893 0.358
0.870 0.881 0.791
0.630 0.381 0.709
0.014 0.364 0.209
0.912 0.381 0.586
0.412 0.119 0.086
0.852 0.170 0.668
0.885 0.366 0.250
0.314 0.354 0.669
0.359 0.310 0.965
0.641 0.690 0.465
0.641 0.690 0.035
0.859 0.190 0.465
0.324 0.532 0.919
0.676 0.468 0.419
0.824 0.968 0.419
0.762 0.386 0.750
0.412 0.119 0.414
0.176 0.032 0.581
0.088 0.619 0.414
0.588 0.881 0.914
0.176 0.032 0.919
0.352 0.330 0.332
0.588 0.881 0.586
0.824 0.968 0.081
0.648 0.670 0.832
0.814 0.146 0.331
0.324 0.532 0.581
0.148 0.830 0.168
0.186 0.854 0.669
0.088 0.619 0.086
0.814 0.146 0.169
0.852 0.170 0.832
0.352 0.330 0.168
0.262 0.114 0.250
0.859 0.190 0.035
0.686 0.646 0.331
0.676 0.468 0.081
0.912 0.381 0.914
0.115 0.634 0.750
0.141 0.810 0.965
0.738 0.886 0.750
0.686 0.646 0.169
0.314 0.354 0.831
0.359 0.310 0.535
0.648 0.670 0.668
0.148 0.830 0.332
0.615 0.866 0.250
0.238 0.614 0.250
0.141 0.810 0.535
0.385 0.134 0.750
0.186 0.854 0.831
0.776 0.856 0.003
0.224 0.144 0.503
0.224 0.144 0.997
0.776 0.856 0.497
0.724 0.356 0.497
0.276 0.644 0.997
0.276 0.644 0.503
0.724 0.356 0.003
0.726 0.105 0.095
0.774 0.605 0.095
0.226 0.395 0.905
0.274 0.895 0.595
0.274 0.895 0.905
0.226 0.395 0.595
0.726 0.105 0.405
0.774 0.605 0.405
0.412 0.766 0.750
0.588 0.234 0.250
0.912 0.734 0.250
0.088 0.266 0.750
```

Electronic total energy ... -8.299 eV per atom
Calculated volume ... 9.7 Å³ per atom
Symmetry ... No. 62

---

(6)
First-principles (meta-GGA SCAN) data for a PBEsol-optimized structure of Al2ZnPb, as listed in Alexandria via LeMat-Bulk.

Cell and atoms, written as POSCAR:
```
Al2ZnPb
1.0
-1.358 0.060 -3.026
-0.967 -3.151 0.371
-6.268 2.260 2.858
Al Pb Zn
2 1 1
Direct
0.000 0.000 0.989
0.500 0.500 0.199
0.000 0.000 0.512
0.500 0.500 0.800
```

Energy above the lowest structure with this stoichiometry ... 0.000 eV per atom
Electronic total energy ... -25.995 eV per atom
Calculated volume ... 19.9 Å³ per atom
Symmetry ... No. 99

---

(7)
First-principles (meta-GGA SCAN) data for a PBEsol-optimized structure of Cs2AlBiH, as listed in Alexandria via LeMat-Bulk.

Cell and atoms, written as POSCAR:
```
Cs2AlBiH
1.0
-0.488 -4.364 0.077
5.303 -0.645 -2.909
2.902 -0.230 5.341
H Cs Bi Al
1 2 1 1
Direct
0.000 0.000 0.000
0.000 0.000 0.500
0.000 0.500 0.000
0.500 0.500 0.500
0.500 0.000 0.000
```

Electronic total energy ... -32.892 eV per atom
Calculated volume ... 32.5 Å³ per atom
Symmetry ... No. 123

---

(8)
First-principles (meta-GGA SCAN) data for a PBEsol-optimized structure of MoIrPt, as listed in Alexandria via LeMat-Bulk.

Cell and atoms, written as POSCAR:
```
MoIrPt
1.0
2.731 0.000 0.000
0.000 3.873 0.000
-1.365 -1.937 4.146
Ir Mo Pt
1 1 1
Direct
0.005 0.005 0.011
0.662 0.662 0.324
0.333 0.333 0.665
```

Energy above the lowest structure with this stoichiometry ... 0.000 eV per atom
Electronic total energy ... -59.079 eV per atom
Calculated volume ... 14.6 Å³ per atom
Symmetry ... No. 44

---

(9)
First-principles (meta-GGA SCAN) data for a PBEsol-optimized structure of AgTe2Os, as listed in Alexandria via LeMat-Bulk.

Cell and atoms, written as POSCAR:
```
AgTe2Os
1.0
-1.347 4.421 -1.235
-2.258 0.740 -4.151
-4.639 1.168 -0.024
Ag Os Te
1 1 2
Direct
0.500 0.500 0.500
0.000 0.000 0.000
0.250 0.250 0.250
0.750 0.750 0.750
```

Energy above the lowest structure with this stoichiometry ... 0.000 eV per atom
Electronic total energy ... -43.832 eV per atom
Calculated volume ... 19.3 Å³ per atom
Symmetry ... No. 225

---

(10)
First-principles (meta-GGA SCAN) data for a PBEsol-optimized structure of Tb2InHg, as listed in Alexandria via LeMat-Bulk.

Cell and atoms, written as POSCAR:
```
Tb2InHg
1.0
5.223 0.000 0.000
2.611 4.523 0.000
2.611 1.508 4.264
Hg Tb In
1 2 1
Direct
0.000 0.000 0.000
0.750 0.750 0.750
0.250 0.250 0.250
0.500 0.500 0.500
```

Electronic total energy ... -49.425 eV per atom
Calculated volume ... 25.2 Å³ per atom
Symmetry ... No. 225

---

(11)
First-principles (meta-GGA SCAN) data for a PBEsol-optimized structure of HfIrS2Cl, as listed in Alexandria via LeMat-Bulk.

Cell and atoms, written as POSCAR:
```
HfIrS2Cl
1.0
-4.442 1.197 1.005
0.437 -2.059 4.384
1.554 4.229 1.831
S Cl Hf Ir
2 1 1 1
Direct
0.000 0.000 0.500
0.000 0.500 0.000
0.500 0.000 0.000
0.000 0.000 0.000
0.500 0.500 0.500
```

Electronic total energy ... -32.043 eV per atom
Calculated volume ... 22.3 Å³ per atom
Symmetry ... No. 123

---

(12)
First-principles (meta-GGA SCAN) data for a PBEsol-optimized structure of KNaS2O7, as listed in Alexandria via LeMat-Bulk.

Cell and atoms, written as POSCAR:
```
KNaS2O7
1.0
5.911 -0.035 -0.024
-0.598 7.149 0.007
-0.037 -1.479 7.294
O K S Na
14 2 4 2
Direct
0.484 0.619 0.695
0.106 0.395 0.307
0.726 0.850 0.565
0.734 0.880 0.891
0.266 0.120 0.109
0.104 0.302 0.893
0.508 0.258 0.886
0.274 0.150 0.435
0.896 0.698 0.107
0.516 0.381 0.305
0.492 0.742 0.114
0.228 0.982 0.792
0.894 0.605 0.693
0.772 0.018 0.208
0.222 0.776 0.434
0.778 0.224 0.566
0.294 0.276 0.305
0.279 0.171 0.902
0.721 0.829 0.098
0.706 0.724 0.695
0.199 0.651 0.901
0.801 0.349 0.099
```

Electronic total energy ... -8.730 eV per atom
Calculated volume ... 14.0 Å³ per atom
Symmetry ... No. 2